Material: TbSm3Cd4
Method: DFT, PBE
State: optimized geometry

## Properties
Volume: 27.4 Å³ per atom
E_form: -0.32 eV per atom
VASP energy: -24.99 eV/cell

Cell lengths 5.348, 5.348, 7.678 Å; angles 90.00, 90.00, 90.00 degrees
Fractional coordinates of all 8 atoms:
1 Tb 0.000 0.000 0.000
2 Sm 0.000 0.000 0.500
3 Sm 0.500 0.500 0.000
4 Sm 0.500 0.500 0.500
5 Cd 0.000 0.500 0.246
6 Cd 0.000 0.500 0.754
7 Cd 0.500 0.000 0.246
8 Cd 0.500 0.000 0.754